1.
Material: NdVO5
Method: DFT, GGA+U
State: optimized geometry Values from VASP.

Output
Volume in Å³/cell: 207.65
E in eV per cell: -100.0

Cell and atoms, written as Quantum ESPRESSO input:
```
&SYSTEM
  ibrav = 0, nat = 14, ntyp = 3
/
ATOMIC_SPECIES
Nd 144.24 Nd.upf
V 50.94 V.upf
O 16.00 O.upf
ATOMIC_POSITIONS angstrom
Nd 2.290 2.859 5.245
Nd 3.810 -2.859 1.748
V 4.570 0.000 0.000
V 3.050 0.000 3.497
O 4.373 1.835 0.248
O 3.247 1.835 3.249
O 1.377 0.167 2.769
O -0.143 -0.167 6.265
O 2.290 0.405 5.245
O 3.810 -0.405 1.748
O 6.244 0.167 0.728
O 4.723 -0.167 4.224
O 2.853 -1.835 3.744
O 1.727 -1.835 6.745
CELL_PARAMETERS angstrom
4.570 -3.249 0.000
4.570 3.249 0.000
-3.040 0.000 6.993
```

2.
Material: NdVO2
Method: DFT, GGA+U
State: optimized geometry Values from VASP.

Output
Volume in Å³/cell: 188.23
E in eV per cell: -87.7

Cell and atoms, written as Quantum ESPRESSO input:
```
&SYSTEM
  ibrav = 0, nat = 12, ntyp = 3
/
ATOMIC_SPECIES
Nd 144.24 Nd.upf
V 50.94 V.upf
O 16.00 O.upf
ATOMIC_POSITIONS angstrom
Nd 0.000 0.000 0.000
Nd 0.000 1.924 13.045
Nd 1.666 0.962 6.523
V 0.000 0.000 9.784
V 0.000 1.924 3.261
V 1.666 0.962 16.306
O 0.000 0.000 2.292
O 0.000 0.000 17.275
O 0.000 1.924 10.753
O 0.000 1.924 15.338
O 1.666 0.962 4.230
O 1.666 0.962 8.815
CELL_PARAMETERS angstrom
3.333 0.000 0.000
-1.666 2.886 0.000
0.000 0.000 19.568
```

3.
Material: Nd2VO
Method: DFT, GGA+U
State: optimized geometry Values from VASP.

Output
Volume in Å³/cell: 289.59
E in eV per cell: -72.7

Cell and atoms, written as Quantum ESPRESSO input:
```
&SYSTEM
  ibrav = 0, nat = 12, ntyp = 3
/
ATOMIC_SPECIES
Nd 144.24 Nd.upf
V 50.94 V.upf
O 16.00 O.upf
ATOMIC_POSITIONS angstrom
Nd 0.000 0.000 3.122
Nd 0.000 0.000 24.377
Nd 0.000 2.013 15.211
Nd 0.000 2.013 21.454
Nd 1.744 1.007 6.045
Nd 1.744 1.007 12.288
V 0.000 0.000 0.000
V 0.000 2.013 18.333
V 1.744 1.007 9.166
O 0.000 0.000 13.749
O 0.000 2.013 4.583
O 1.744 1.007 22.916
CELL_PARAMETERS angstrom
3.487 0.000 0.000
-1.744 3.020 0.000
0.000 0.000 27.499
```

4.
Material: Nd5V2O12
Method: DFT, GGA+U
State: optimized geometry Values from VASP.

Output
Volume in Å³/cell: 274.22
E in eV per cell: -154.4

Cell and atoms, written as Quantum ESPRESSO input:
```
&SYSTEM
  ibrav = 0, nat = 19, ntyp = 3
/
ATOMIC_SPECIES
Nd 144.24 Nd.upf
V 50.94 V.upf
O 16.00 O.upf
ATOMIC_POSITIONS angstrom
Nd 0.000 0.000 0.000
Nd 3.582 0.000 1.048
Nd 2.392 0.000 4.860
Nd 7.974 0.000 2.430
Nd 6.784 0.000 6.242
V 5.183 1.594 3.645
V 5.183 -1.594 3.645
O -1.541 0.000 4.950
O 2.258 1.483 6.714
O 3.398 1.458 3.093
O 8.108 1.483 0.576
O 6.968 1.458 4.197
O 5.574 0.000 2.418
O 4.791 0.000 4.872
O 3.398 -1.458 3.093
O 2.258 -1.483 6.714
O 6.968 -1.458 4.197
O 8.108 -1.483 0.576
O 11.907 0.000 2.340
CELL_PARAMETERS angstrom
6.328 -2.972 0.000
6.328 2.972 0.000
-2.291 0.000 7.290
```

5.
Material: Nd3V5O12
Method: DFT, GGA+U
State: optimized geometry Values from VASP.

Output
Volume in Å³/cell: 1057.41
E in eV per cell: -644.9

Cell and atoms, written as Quantum ESPRESSO input:
```
&SYSTEM
  ibrav = 0, nat = 80, ntyp = 3
/
ATOMIC_SPECIES
Nd 144.24 Nd.upf
V 50.94 V.upf
O 16.00 O.upf
ATOMIC_POSITIONS angstrom
Nd 3.209 1.604 0.000
Nd 6.418 3.209 -1.604
Nd 1.604 0.000 3.209
Nd 8.022 0.000 3.209
Nd 0.000 3.209 1.604
Nd 3.209 -1.604 6.418
Nd 3.209 8.022 0.000
Nd 6.418 3.209 4.813
Nd -1.604 6.418 3.209
Nd 4.813 6.418 3.209
Nd 0.000 3.209 8.022
Nd 3.209 4.813 6.418
V 0.000 0.000 0.000
V 3.209 3.209 -3.209
V 3.209 -3.209 3.209
V 6.418 0.000 0.000
V 9.627 1.604 0.000
V 6.418 -3.209 4.813
V 4.813 6.418 -3.209
V 4.813 0.000 3.209
V 3.209 4.813 0.000
V 6.418 3.209 1.604
V -3.209 3.209 3.209
V 0.000 6.418 0.000
V 0.000 0.000 6.418
V 3.209 3.209 3.209
V 0.000 3.209 4.813
V 3.209 1.604 6.418
V 1.604 6.418 3.209
V 1.604 0.000 9.627
V 0.000 9.627 1.604
V -3.209 4.813 6.418
O 1.945 -0.368 0.705
O 7.682 3.914 -3.577
O 8.363 0.368 0.705
O 7.682 -2.504 3.577
O 6.049 -0.705 1.945
O 9.995 -1.264 2.504
O 0.705 1.945 -0.368
O 8.922 2.841 -1.264
O 3.914 3.577 -1.264
O 5.713 1.945 0.368
O -0.368 0.705 1.945
O 3.577 -1.264 3.914
O 6.049 5.713 -1.945
O 3.577 1.264 2.504
O 3.914 -3.577 7.682
O 5.713 -1.945 6.049
O 2.504 3.577 1.264
O 7.123 4.473 0.368
O 3.577 7.682 -2.504
O 6.049 0.705 4.473
O 1.945 6.049 -0.705
O 7.682 2.504 2.841
O 1.264 2.504 3.577
O 1.945 0.368 5.713
O 4.473 6.049 0.705
O 5.154 3.914 2.841
O -1.264 3.914 3.577
O 4.473 0.368 7.123
O 0.368 5.713 1.945
O 2.841 -1.264 8.922
O -0.705 1.945 6.049
O 3.914 2.841 5.154
O 0.705 8.363 0.368
O 2.504 9.995 -1.264
O 2.841 5.154 3.914
O 0.368 0.705 8.363
O 2.841 7.682 2.504
O 6.786 5.713 4.473
O 0.705 4.473 6.049
O 2.504 2.841 7.682
O -2.504 3.577 7.682
O 5.713 4.473 6.786
O -3.577 7.682 3.914
O 0.368 7.123 4.473
O -1.264 8.922 2.841
O -1.945 6.049 5.713
O -1.264 2.504 9.995
O 4.473 6.786 5.713
CELL_PARAMETERS angstrom
-6.418 6.418 6.418
6.418 -6.418 6.418
6.418 6.418 -6.418
```

6.
Material: NdV2WO8
Method: DFT, GGA+U
State: optimized geometry Values from VASP.

Output
Volume in Å³/cell: 149.16
E in eV per cell: -93.3

Cell and atoms, written as Quantum ESPRESSO input:
```
&SYSTEM
  ibrav = 0, nat = 12, ntyp = 4
/
ATOMIC_SPECIES
Nd 144.24 Nd.upf
V 50.94 V.upf
W 183.84 W.upf
O 16.00 O.upf
ATOMIC_POSITIONS angstrom
Nd 0.000 0.000 0.000
V 3.301 0.000 1.617
V 3.301 0.000 4.960
W 0.000 0.000 3.288
O 1.372 0.000 1.894
O 1.372 0.000 4.683
O 3.301 1.470 3.288
O 3.301 1.155 0.000
O 3.301 -1.155 0.000
O 3.301 -1.470 3.288
O 5.230 0.000 1.894
O 5.230 0.000 4.683
CELL_PARAMETERS angstrom
3.301 -3.435 0.000
3.301 3.435 0.000
0.000 0.000 6.577
```